BaBe2Ag: PBEsol geometry, meta-GGA SCAN.

Calculated values
Calculated volume in Å³ per cell: 75.9
Energy relative to the elements in eV/f.u.: 3.8

abc: 3.017 5.017 5.017
angles: 90.03 90.14 90.14
Atoms (fractional coordinates):
1 Be 0.000 0.000 0.500
2 Be 0.000 0.500 0.000
3 Ba 0.500 0.000 0.000
4 Ag 0.500 0.500 0.500

BaBeAg2: PBEsol geometry, meta-GGA SCAN.

Calculated values
Calculated volume in Å³ per cell: 83.6
Energy relative to the elements in eV/f.u.: 0.8

abc: 3.381 3.381 7.311
angles: 90.00 90.00 90.00
Atoms (fractional coordinates):
1 Ag 0.000 0.000 0.962
2 Ag 0.500 0.500 0.178
3 Be 0.500 0.500 0.851
4 Ba 0.000 0.000 0.509